Entry 1:
# RbSb2AuI | the Alexandria database | GGA-PBE | optimized geometry
# Fermi-level density of states = 4.1 states/eV/cell
# total DFT energy (no corrections) = -14.17 eV per cell
# relative energy among the computed polymorphs = 0.0 kJ/mol of formula units
# formation energy (no corrections) = -26 meV per atom
data_RbSb2AuI
_cell_length_a 5.284
_cell_length_b 5.284
_cell_length_c 8.338
_cell_angle_alpha 90.00
_cell_angle_beta 90.00
_cell_angle_gamma 90.00
_symmetry_space_group_name_H-M 'P 4/m m m'
_symmetry_Int_Tables_number 123
_symmetry_space_group_name_Hall '-P 4 2'
loop_
_atom_site_label
_atom_site_fract_x
_atom_site_fract_y
_atom_site_fract_z
Rb1 0.000 0.000 0.000
Sb1 0.000 0.500 0.500
Au1 0.500 0.500 0.500
I1 0.500 0.500 0.000

Entry 2:
# KIrAu | the Alexandria database | GGA-PBE | optimized geometry
# Fermi-level density of states = 4.2 states/eV/cell
# total DFT energy (no corrections) = -51.10 eV per cell
# formation energy from the elements = 154 meV per atom
# relative energy among the computed polymorphs = 13.8 kJ/mol of formula units
data_KIrAu
_cell_length_a 5.198
_cell_length_b 11.748
_cell_length_c 4.816
_cell_angle_alpha 90.00
_cell_angle_beta 90.00
_cell_angle_gamma 90.00
_symmetry_space_group_name_H-M 'C m m m'
_symmetry_Int_Tables_number 65
_symmetry_space_group_name_Hall '-C 2 2'
loop_
_atom_site_label
_atom_site_fract_x
_atom_site_fract_y
_atom_site_fract_z
K1 0.000 0.000 0.000
K2 0.000 0.500 0.500
Ir1 0.250 0.250 0.000
Au1 0.000 0.228 0.500

Entry 3:
# Ta2MnAg2Se6 | the Alexandria database | GGA-PBE | optimized geometry
# Fermi-level density of states = 4.5 states/eV/cell
# total DFT energy (no corrections) = -128.51 eV per cell
# formation energy (no corrections) = -434 meV per atom
data_Ta2MnAg2Se6
_cell_length_a 6.004
_cell_length_b 10.901
_cell_length_c 8.025
_cell_angle_alpha 90.00
_cell_angle_beta 102.04
_cell_angle_gamma 90.00
_symmetry_space_group_name_H-M 'C 1 2/m 1'
_symmetry_Int_Tables_number 12
loop_
_symmetry_equiv_pos_as_xyz
'x,y,z'
'-x,-y,-z'
'-x,y,-z'
'x,-y,z'
'x+1/2,y+1/2,z'
'-x+1/2,-y+1/2,-z'
'-x+1/2,y+1/2,-z'
'x+1/2,-y+1/2,z'
loop_
_atom_site_label
_atom_site_fract_x
_atom_site_fract_y
_atom_site_fract_z
Ta1 0.000 0.130 0.000
Mn1 0.000 0.500 0.000
Ag1 0.000 0.357 0.500
Se1 0.098 0.332 0.820
Se2 0.130 0.000 0.774

Entry 4:
# PSeS2 | the Alexandria database | GGA-PBE | optimized geometry
# Fermi-level density of states = 5.9 states/eV/cell
# total DFT energy (no corrections) = -47.77 eV per cell
# relative energy among the computed polymorphs = 48.4 kJ/mol of formula units
# formation energy (no corrections) = 306 meV per atom
data_PSeS2
_cell_length_a 3.4708
_cell_length_b 3.4708
_cell_length_c 23.1452
_cell_angle_alpha 90.00
_cell_angle_beta 90.00
_cell_angle_gamma 120.00
_symmetry_space_group_name_H-M 'R -3 m'
_symmetry_Int_Tables_number 166
_symmetry_space_group_name_Hall '-R 3 2"'
loop_
_atom_site_label
_atom_site_fract_x
_atom_site_fract_y
_atom_site_fract_z
P1 0.0000 0.0000 0.0000
Se1 0.0000 0.0000 0.5000
S1 0.0000 0.0000 0.3950

Entry 5:
# CeHoIrRh | the Alexandria database | GGA-PBE | optimized geometry
# Fermi-level density of states = 20.9 states/eV/cell
# total DFT energy (no corrections) = -119.21 eV per cell
# formation energy from the elements = -769 meV per atom
# relative energy among the computed polymorphs = 28.3 kJ/mol of formula units
data_CeHoIrRh
_cell_length_a 6.916
_cell_length_b 6.916
_cell_length_c 6.916
_cell_angle_alpha 90.00
_cell_angle_beta 90.00
_cell_angle_gamma 90.00
_symmetry_space_group_name_H-M 'F -4 3 m'
_symmetry_Int_Tables_number 216
_symmetry_space_group_name_Hall 'F -4 2 3'
loop_
_atom_site_label
_atom_site_fract_x
_atom_site_fract_y
_atom_site_fract_z
Ce1 0.000 0.000 0.000
Ho1 0.000 0.000 0.500
Ir1 0.250 0.250 0.750
Rh1 0.250 0.250 0.250

Entry 6:
# ErScZnO4 | the Alexandria database | GGA-PBE | optimized geometry
# Fermi-level density of states = 0.0 states/eV/cell
# total DFT energy (no corrections) = -208.33 eV per cell
# formation energy (no corrections) = -2869 meV per atom
data_ErScZnO4
_cell_length_a 6.308
_cell_length_b 6.504
_cell_length_c 9.042
_cell_angle_alpha 90.00
_cell_angle_beta 90.00
_cell_angle_gamma 90.00
_symmetry_space_group_name_H-M 'I m m a'
_symmetry_Int_Tables_number 74
_symmetry_space_group_name_Hall '-I 2b 2'
loop_
_atom_site_label
_atom_site_fract_x
_atom_site_fract_y
_atom_site_fract_z
Er1 0.000 0.000 0.000
Sc1 0.250 0.250 0.250
Zn1 0.000 0.250 0.621
O1 0.000 0.023 0.248
O2 0.241 0.250 0.014

Entry 7:
# KNaSc2Cl8 | the Alexandria database | GGA-PBE | optimized geometry
# Fermi-level density of states = 0.0 states/eV/cell
# total DFT energy (no corrections) = -53.91 eV per cell
# formation energy (no corrections) = -2004 meV per atom
data_KNaSc2Cl8
_cell_length_a 6.470
_cell_length_b 7.804
_cell_length_c 6.801
_cell_angle_alpha 90.00
_cell_angle_beta 94.02
_cell_angle_gamma 90.00
_symmetry_space_group_name_H-M 'P 1 2/m 1'
_symmetry_Int_Tables_number 10
loop_
_symmetry_equiv_pos_as_xyz
'x,y,z'
'-x,-y,-z'
'-x,y,-z'
'x,-y,z'
loop_
_atom_site_label
_atom_site_fract_x
_atom_site_fract_y
_atom_site_fract_z
K1 0.000 0.000 0.000
Na1 0.000 0.500 0.000
Sc1 0.500 0.254 0.500
Cl1 0.268 0.266 0.203
Cl2 0.291 0.500 0.643
Cl3 0.298 0.000 0.635

Entry 8:
# Dy2HoCdHg4 | the Alexandria database | GGA-PBE | optimized geometry
# Fermi-level density of states = 10.4 states/eV/cell
# total DFT energy (no corrections) = -58.15 eV per cell
# formation energy from the elements = -435 meV per atom
data_Dy2HoCdHg4
_cell_length_a 5.1414
_cell_length_b 5.1414
_cell_length_c 25.8845
_cell_angle_alpha 90.00
_cell_angle_beta 90.00
_cell_angle_gamma 120.00
_symmetry_space_group_name_H-M 'R -3 m'
_symmetry_Int_Tables_number 166
_symmetry_space_group_name_Hall '-R 3 2"'
loop_
_atom_site_label
_atom_site_fract_x
_atom_site_fract_y
_atom_site_fract_z
Dy1 0.0000 0.0000 0.2428
Ho1 0.0000 0.0000 0.0000
Cd1 0.0000 0.0000 0.5000
Hg1 0.0000 0.0000 0.1221
Hg2 0.0000 0.0000 0.3689

Computed ρ (kg/m³) in order:
4656 9672 7153 3591 12052 6116 2112 11809
Computed total moment (μB/cell) in order:
0.47 0.00 1.94 0.00 1.88 0.00 0.00 0.00